# Tc3Sb

An optimized crystal structure of Tc3Sb (PBE-GGA, the Alexandria database).

Calculated values
For the uncorrected formation energy, the calculation gives 11.07 eV per formula unit. The value obtained for the density of states at the Fermi level is 5.199 states/eV per cell. The calculation puts the uncorrected energy at -24.154 eV/cell. The total moment comes out at 7.79 Bohr magnetons per cell.

Cell lengths 5.0632, 5.0632, 5.0632 Å; angles 90.00, 90.00, 90.00 degrees
Last column: magnetic moment on the atom in μB.
Fractional coordinates of all 4 atoms:
Sb1 0.0000 0.0000 0.0000  -0.10
Tc1 0.5000 0.0000 0.0000  2.31
Tc2 0.0000 0.5000 0.0000  2.31
Tc3 0.0000 0.0000 0.5000  2.31

# TcSb3

An optimized crystal structure of TcSb3 (PBE-GGA, the Alexandria database).

Calculated values
For the uncorrected formation energy, the calculation gives 0.19 eV per formula unit. The value obtained for the density of states at the Fermi level is 4.282 states/eV per cell. The calculation puts the uncorrected energy at -90.187 eV/cell. The total moment comes out at 0.00 Bohr magnetons per cell.

Cell lengths 6.5873, 6.7346, 8.2531 Å; angles 90.00, 90.00, 90.00 degrees
Fractional coordinates of all 16 atoms:
Sb1 0.1269 0.9700 0.7500
Sb2 0.6269 0.5300 0.2500
Sb3 0.3731 0.4700 0.7500
Sb4 0.8731 0.0300 0.2500
Sb5 0.6462 0.1784 0.9292
Sb6 0.1462 0.3216 0.0708
Sb7 0.8538 0.6784 0.5708
Sb8 0.3538 0.8216 0.4292
Sb9 0.3538 0.8216 0.0708
Sb10 0.8538 0.6784 0.9292
Sb11 0.1462 0.3216 0.4292
Sb12 0.6462 0.1784 0.5708
Tc1 0.5201 0.8388 0.7500
Tc2 0.0201 0.6612 0.2500
Tc3 0.9799 0.3388 0.7500
Tc4 0.4799 0.1612 0.2500

# TcSb3

An optimized crystal structure of TcSb3 (PBE-GGA, the Alexandria database).

Calculated values
For the uncorrected formation energy, the calculation gives 2.85 eV per formula unit. The value obtained for the density of states at the Fermi level is 5.011 states/eV per cell. The calculation puts the uncorrected energy at -19.886 eV/cell. The total moment comes out at 1.60 Bohr magnetons per cell.

Cell lengths 4.5279, 4.5279, 4.5279 Å; angles 90.00, 90.00, 90.00 degrees
Last column: magnetic moment on the atom in μB.
Fractional coordinates of all 4 atoms:
Sb1 0.0000 0.5000 0.5000  -0.03
Sb2 0.5000 0.0000 0.5000  -0.03
Sb3 0.5000 0.5000 0.0000  -0.03
Tc1 0.0000 0.0000 0.0000  1.53

# TcSb3

An optimized crystal structure of TcSb3 (PBE-GGA, the Alexandria database).

Calculated values
For the uncorrected formation energy, the calculation gives 1.03 eV per formula unit. The value obtained for the density of states at the Fermi level is 4.794 states/eV per cell. The calculation puts the uncorrected energy at -43.413 eV/cell. The total moment comes out at 0.00 Bohr magnetons per cell.

Cell lengths 5.3987, 6.8930, 6.8930 Å; angles 120.00, 90.00, 90.00 degrees
Fractional coordinates of all 8 atoms:
Tc1 0.7240 0.3333 0.6667
Tc2 0.2240 0.6667 0.3333
Sb1 0.4740 0.3498 0.9999
Sb2 0.9740 0.6502 0.0001
Sb3 0.9740 0.9999 0.6502
Sb4 0.4740 0.6502 0.6502
Sb5 0.4740 0.0001 0.3498
Sb6 0.9740 0.3498 0.3498

# TcSb2

An optimized crystal structure of TcSb2 (PBE-GGA, the Alexandria database).

Calculated values
For the uncorrected formation energy, the calculation gives 0.40 eV per formula unit. The value obtained for the density of states at the Fermi level is 4.740 states/eV per cell. The calculation puts the uncorrected energy at -36.412 eV/cell. The total moment comes out at 0.00 Bohr magnetons per cell.

Cell lengths 7.3540, 7.3540, 5.3405 Å; angles 90.00, 90.00, 153.25 degrees
Fractional coordinates of all 6 atoms:
Tc1 0.3005 0.6995 0.7500
Tc2 0.6995 0.3005 0.2500
Sb1 0.6538 0.3462 0.7500
Sb2 0.9509 0.0491 0.7500
Sb3 0.0491 0.9509 0.2500
Sb4 0.3462 0.6538 0.2500

# Tc4Sb5

An optimized crystal structure of Tc4Sb5 (PBE-GGA, the Alexandria database).

Calculated values
For the uncorrected formation energy, the calculation gives 3.81 eV per formula unit. The value obtained for the density of states at the Fermi level is 12.334 states/eV per cell. The calculation puts the uncorrected energy at -116.534 eV/cell. The total moment comes out at 0.00 Bohr magnetons per cell.

Cell lengths 8.0796, 8.0796, 6.1209 Å; angles 90.00, 90.00, 120.00 degrees
Fractional coordinates of all 18 atoms:
Sb1 0.0000 0.7257 0.2500
Sb2 0.2743 0.2743 0.2500
Sb3 0.7257 0.0000 0.2500
Sb4 0.0000 0.2743 0.7500
Sb5 0.7257 0.7257 0.7500
Sb6 0.2743 0.0000 0.7500
Sb7 0.6667 0.3333 0.0000
Sb8 0.3333 0.6667 0.5000
Sb9 0.3333 0.6667 0.0000
Sb10 0.6667 0.3333 0.5000
Tc1 0.0000 0.0000 0.0000
Tc2 0.0000 0.0000 0.5000
Tc3 0.0000 0.4003 0.2500
Tc4 0.5997 0.5997 0.2500
Tc5 0.4003 0.0000 0.2500
Tc6 0.0000 0.5997 0.7500
Tc7 0.4003 0.4003 0.7500
Tc8 0.5997 0.0000 0.7500

# Tc3Sb

An optimized crystal structure of Tc3Sb (PBE-GGA, the Alexandria database).

Calculated values
For the uncorrected formation energy, the calculation gives 0.89 eV per formula unit. The value obtained for the density of states at the Fermi level is 3.129 states/eV per cell. The calculation puts the uncorrected energy at -34.326 eV/cell. The total moment comes out at 0.00 Bohr magnetons per cell.

Cell lengths 5.3679, 5.3679, 5.3679 Å; angles 147.52, 128.49, 62.23 degrees
Fractional coordinates of all 4 atoms:
Sb1 0.0266 0.0000 0.0266
Tc1 0.4962 0.5000 0.9962
Tc2 0.8838 0.2285 0.6553
Tc3 0.4268 0.7715 0.6553

# TcSb3

An optimized crystal structure of TcSb3 (PBE-GGA, the Alexandria database).

Calculated values
For the uncorrected formation energy, the calculation gives 0.66 eV per formula unit. The value obtained for the density of states at the Fermi level is 3.275 states/eV per cell. The calculation puts the uncorrected energy at -44.153 eV/cell. The total moment comes out at 0.00 Bohr magnetons per cell.

Cell lengths 8.0793, 8.0793, 4.0356 Å; angles 90.00, 90.00, 117.26 degrees
Fractional coordinates of all 8 atoms:
Tc1 0.5583 0.4417 0.7500
Tc2 0.4417 0.5583 0.2500
Sb1 0.2571 0.7429 0.7500
Sb2 0.7429 0.2571 0.2500
Sb3 0.6346 0.8255 0.7500
Sb4 0.3654 0.1745 0.2500
Sb5 0.8255 0.6346 0.2500
Sb6 0.1745 0.3654 0.7500